Compound: Cs3Pm3UTe8
Source: the Alexandria database
Functional: PBE-GGA
Structure: optimized geometry

Lattice parameters (Å, degrees): 9.1334 9.1415 10.5425 115.75 90.00 119.97
Last column: nearest neighbours and their distance in Å.
Fractional coordinates of all 15 atoms:
Cs  0.5000  0.5000  0.0000  6 Te 3.84-3.86
Cs  0.0000  0.5000  0.0000  6 Te 3.84-3.86
Cs  0.0000  0.0000  0.0000  6 Te 3.84-3.86
Te  0.2258  0.4515  0.6887  1 U 3.10, 2 Pm 3.18
Te  0.7742  0.5485  0.3113  1 U 3.10, 2 Pm 3.18
Te  0.7314  0.4628  0.6940  3 Pm 3.18
Te  0.2257  0.9631  0.6886  1 U 3.10, 2 Pm 3.18
Te  0.7743  0.0369  0.3114  1 U 3.10, 2 Pm 3.18
Te  0.2686  0.5372  0.3060  3 Pm 3.18
Te  0.7374  0.9631  0.6886  1 U 3.10, 2 Pm 3.18
Te  0.2626  0.0369  0.3114  1 U 3.10, 2 Pm 3.18
Pm  0.0000  0.5000  0.5000  6 Te 3.18
Pm  0.5000  0.5000  0.5000  6 Te 3.18
Pm  0.5000  0.0000  0.5000  6 Te 3.18
U  0.0000  0.0000  0.5000  6 Te 3.10

Values from the calculation:
Its uncorrected formation energy is -18.865 eV per formula unit. Its space group is C2/m. As for the density of states at the Fermi level: 5.6 states/eV per cell. The spin magnetization is 2.00 μB/f.u.



Compound: ScAsPd2N
Source: the Alexandria database
Functional: PBE-GGA
Structure: optimized geometry

Lattice parameters (Å, degrees): 4.9501 3.9009 4.9501 90.00 90.00 90.00
Last column: nearest neighbours and their distance in Å.
Fractional coordinates of all 5 atoms:
N  0.0000  0.5000  0.0000  2 Sc 1.95
Pd  0.0000  0.0000  0.5000  2 Sc 2.48
Pd  0.5000  0.0000  0.0000  2 Sc 2.48
As  0.5000  0.5000  0.5000  8 Pd 3.15, 4 N 3.50
Sc  0.0000  0.0000  0.0000  2 N 1.95

Values from the calculation:
Its uncorrected formation energy is 3.103 eV per formula unit. Its space group is P4/mmm. As for the density of states at the Fermi level: 4.3 states/eV per cell. The spin magnetization is 0.00 μB/f.u.



Compound: Pm3BeC4
Source: the Alexandria database
Functional: PBE-GGA
Structure: optimized geometry

Lattice parameters (Å, degrees): 3.8999 4.6434 7.3148 108.56 105.46 90.00
Last column: nearest neighbours and their distance in Å.
Fractional coordinates of all 8 atoms:
Be  0.5000  0.0000  0.0000  4 C 2.31-2.32
Pm  0.8190  0.8189  0.6381  6 C 2.65-2.69
Pm  0.1810  0.1811  0.3619  6 C 2.65-2.69
Pm  0.0000  0.5000  0.0000  8 C 2.65
C  0.3760  0.5275  0.7521  1 C 1.40
C  0.6242  0.7735  0.2485  1 C 1.40
C  0.6240  0.4725  0.2479  1 C 1.40
C  0.3758  0.2265  0.7515  1 C 1.40

Values from the calculation:
Its space group is C2/m. The calculation puts the formation energy at -46 meV/atom. As for the density of states at the Fermi level: 2.3 states/eV per cell. The spin magnetization is 0.00 μB/f.u.



Compound: KReBr2
Source: the Alexandria database
Functional: PBE-GGA
Structure: optimized geometry

Lattice parameters (Å, degrees): 6.1856 6.1856 6.1856 143.28 118.52 73.80
Last column: nearest neighbours and their distance in Å.
Fractional coordinates of all 4 atoms:
Br  0.0833  0.0833  0.0000  2 Re 2.55
Br  0.4167  0.4167  0.0000  2 Re 2.55
K  0.7500  0.2500  0.5000  8 Br 3.57-3.83, 4 Re 3.71, 2 K 3.90
Re  0.2500  0.7500  0.5000  4 Br 2.55

Values from the calculation:
Its uncorrected formation energy is 0.826 eV per formula unit. Its space group is Immm. As for the density of states at the Fermi level: 2.5 states/eV per cell. The spin magnetization is 2.00 μB/f.u.



Compound: H3RhI
Source: the Alexandria database
Functional: PBE-GGA
Structure: optimized geometry

Lattice parameters (Å, degrees): 3.9452 3.9452 3.9452 90.00 90.00 90.00
Last column: nearest neighbours and their distance in Å.
Fractional coordinates of all 5 atoms:
H  0.0000  0.0000  0.5000  2 I 1.97
H  0.5000  0.0000  0.0000  2 I 1.97
H  0.0000  0.5000  0.0000  2 I 1.97
Rh  0.5000  0.5000  0.5000  12 H 2.79
I  0.0000  0.0000  0.0000  6 H 1.97

Values from the calculation:
Its space group is Pm-3m. The calculation puts the total energy at -11.7 eV/cell. As for the density of states at the Fermi level: 5.3 states/eV per cell. The spin magnetization is 0.38 μB/f.u.



Compound: Pm4SnHgTe2
Source: the Alexandria database
Functional: PBE-GGA
Structure: optimized geometry

Lattice parameters (Å, degrees): 4.4150 7.4717 8.0758 108.63 90.00 90.00
Last column: nearest neighbours and their distance in Å.
Fractional coordinates of all 8 atoms:
Pm  0.0000  0.2489  0.7487  3 Te 3.16, 1 Sn 3.16, 2 Hg 3.18
Pm  0.5000  0.2459  0.2464  2 Sn 3.14, 3 Te 3.16-3.19, 1 Hg 3.16
Pm  0.0000  0.7511  0.2513  3 Te 3.16, 1 Sn 3.16, 2 Hg 3.18
Pm  0.5000  0.7541  0.7536  2 Sn 3.14, 3 Te 3.16-3.19, 1 Hg 3.16
Hg  0.5000  0.5000  0.0000  6 Pm 3.16-3.18
Sn  0.0000  0.0000  0.0000  6 Pm 3.14-3.16
Te  0.5000  0.0000  0.5000  6 Pm 3.16
Te  0.0000  0.5000  0.5000  6 Pm 3.16-3.19

Values from the calculation:
Its uncorrected formation energy is -8.036 eV per formula unit. Its space group is P2/m. As for the density of states at the Fermi level: 5.1 states/eV per cell. The spin magnetization is 0.00 μB/f.u.